(1)
BaIn2Hg8 after structural relaxation, computed with PBE.

Unit cell a=9.235 b=9.235 c=5.992 alpha=102.19 beta=102.19 gamma=39.53
Fractional positions:
Ba  0.000  0.000  0.000
In  0.249  0.249  0.497
In  0.751  0.751  0.503
Hg  0.165  0.654  0.453
Hg  0.207  0.207  0.988
Hg  0.346  0.835  0.547
Hg  0.391  0.391  0.958
Hg  0.609  0.609  0.042
Hg  0.654  0.165  0.453
Hg  0.793  0.793  0.012
Hg  0.835  0.346  0.547

Computed properties:
Excess energy over the best structure of this formula in the dataset   0 meV/atom
Formation enthalpy at 0 K   -0.16 eV/atom

=====

(2)
InPtRh2 after structural relaxation, computed with PBE.

Unit cell a=2.880 b=4.625 c=4.792 alpha=90.00 beta=90.00 gamma=90.00
Fractional positions:
In  0.000  0.000  0.000
Pt  0.500  0.500  0.163
Rh  0.000  0.500  0.644
Rh  0.500  0.000  0.508

Computed properties:
Formation enthalpy at 0 K   -0.16 eV/atom

=====

(3)
LiZrNiPd after structural relaxation, computed with PBE.

Unit cell a=6.301 b=6.301 c=6.301 alpha=90.00 beta=90.00 gamma=90.00
Fractional positions:
Li  0.000  0.000  0.000
Li  0.000  0.500  0.500
Li  0.500  0.000  0.500
Li  0.500  0.500  0.000
Zr  0.000  0.000  0.500
Zr  0.000  0.500  0.000
Zr  0.500  0.000  0.000
Zr  0.500  0.500  0.500
Ni  0.250  0.250  0.750
Ni  0.250  0.750  0.250
Ni  0.750  0.250  0.250
Ni  0.750  0.750  0.750
Pd  0.250  0.250  0.250
Pd  0.250  0.750  0.750
Pd  0.750  0.250  0.750
Pd  0.750  0.750  0.250

Computed properties:
Formation enthalpy at 0 K   -0.36 eV/atom

=====

(4)
HfScSN2 after structural relaxation, computed with PBE.

Unit cell a=4.083 b=4.083 c=5.008 alpha=90.00 beta=90.00 gamma=90.00
Fractional positions:
Hf  0.000  0.000  0.000
Sc  0.500  0.500  0.500
S  0.000  0.000  0.500
N  0.000  0.500  0.000
N  0.500  0.000  0.000

Computed properties:
Raw formation energy   -0.5399 eV per atom
Excess energy over the best structure of this formula in the dataset   0 meV/atom

=====

(5)
Ca2LaSi after structural relaxation, computed with PBE.

Unit cell a=4.064 b=4.557 c=15.313 alpha=90.00 beta=90.00 gamma=90.00
Fractional positions:
Ca  0.000  0.000  0.000
Ca  0.000  0.500  0.500
Ca  0.500  0.000  0.345
Ca  0.500  0.500  0.845
La  0.000  0.000  0.688
La  0.000  0.500  0.188
Si  0.500  0.000  0.150
Si  0.500  0.500  0.650

Computed properties:
Raw formation energy   -0.2197 eV per atom

=====

(6)
Al4In3 after structural relaxation, computed with PBE.

Unit cell a=6.041 b=6.041 c=5.170 alpha=90.00 beta=90.00 gamma=120.00
Fractional positions:
Al  0.000  0.000  0.248
Al  0.000  0.000  0.752
Al  0.333  0.667  0.000
Al  0.667  0.333  0.000
In  0.000  0.500  0.500
In  0.500  0.000  0.500
In  0.500  0.500  0.500

Computed properties:
Formation enthalpy at 0 K   0.36 eV/atom

=====

These records have density values of 10.3; 13.4; 7.0; 5.6; 2.9; 4.6 g cm⁻³, in the order they appear.